DFT (PBE) results for an optimized crystal structure of Cs3Sn5F12.

Output
crystal system: cubic
ΔE_f (raw): -2219 meV/atom
total moment: 0.043 μB/atom
symmetry: No. 230
calculated volume: 24.299 Å³/atom

Cell: 13.6176 13.6176 13.6176 Å, 109.47 109.47 109.47°
Sites, in units of the cell vectors:
Sn 0.0000 0.5000 0.5000
Sn 0.0000 0.0000 0.5000
Sn 0.5000 0.0000 0.0000
Sn 0.7500 0.6250 0.3750
Sn 0.0000 0.5000 0.0000
Sn 0.3750 0.2500 0.1250
Sn 0.3750 0.1250 0.7500
Sn 0.1250 0.7500 0.3750
Sn 0.6250 0.8750 0.2500
Sn 0.7500 0.1250 0.8750
Sn 0.2500 0.3750 0.6250
Sn 0.2500 0.8750 0.1250
Sn 0.5000 0.0000 0.5000
Sn 0.5000 0.5000 0.0000
Sn 0.1250 0.3750 0.2500
Sn 0.6250 0.7500 0.8750
Sn 0.8750 0.6250 0.7500
Sn 0.8750 0.2500 0.6250
Sn 0.0000 0.0000 0.0000
Sn 0.5000 0.5000 0.5000
Cs 0.8750 0.1250 0.2500
Cs 0.3750 0.6250 0.2500
Cs 0.2500 0.6250 0.8750
Cs 0.1250 0.2500 0.8750
Cs 0.6250 0.3750 0.7500
Cs 0.2500 0.1250 0.3750
Cs 0.3750 0.7500 0.6250
Cs 0.7500 0.3750 0.1250
Cs 0.6250 0.2500 0.3750
Cs 0.1250 0.8750 0.7500
Cs 0.8750 0.7500 0.1250
Cs 0.7500 0.8750 0.6250
F 0.0763 0.1758 0.1915
F 0.1152 0.4237 0.0995
F 0.8242 0.9005 0.0157
F 0.1152 0.6915 0.5157
F 0.8848 0.5763 0.9005
F 0.9237 0.8242 0.8085
F 0.0763 0.9005 0.3848
F 0.4237 0.3085 0.3242
F 0.4237 0.1152 0.5995
F 0.1758 0.0995 0.9843
F 0.3085 0.8848 0.9843
F 0.9005 0.8242 0.5157
F 0.0995 0.1758 0.4843
F 0.8085 0.3242 0.9237
F 0.4843 0.6758 0.0995
F 0.0157 0.6152 0.6915
F 0.1915 0.5157 0.6152
F 0.5157 0.3242 0.9005
F 0.9843 0.3848 0.3085
F 0.3085 0.4237 0.8242
F 0.9237 0.0995 0.6152
F 0.5995 0.9843 0.6758
F 0.4843 0.8085 0.8848
F 0.1915 0.6758 0.0763
F 0.9005 0.0763 0.8848
F 0.0157 0.4005 0.8242
F 0.3242 0.8085 0.4237
F 0.4005 0.3848 0.5763
F 0.9843 0.5995 0.1758
F 0.1758 0.0763 0.6915
F 0.6758 0.4843 0.5995
F 0.5157 0.1915 0.1152
F 0.5995 0.6152 0.4237
F 0.5763 0.8848 0.4005
F 0.3242 0.5157 0.4005
F 0.6915 0.1152 0.0157
F 0.4005 0.0157 0.3242
F 0.6758 0.1915 0.5763
F 0.6152 0.5995 0.9237
F 0.0995 0.9237 0.1152
F 0.8085 0.4843 0.3848
F 0.6152 0.0157 0.1915
F 0.8242 0.9237 0.3085
F 0.5763 0.6915 0.6758
F 0.3848 0.9843 0.8085
F 0.3848 0.4005 0.0763
F 0.6915 0.5763 0.1758
F 0.8848 0.3085 0.4843

---

DFT (PBE) results for an optimized crystal structure of DyInCu3.

Output
crystal system: orthorhombic
DFT formation energy: -0.144 eV per atom
total moment: 0.000 μB/atom
symmetry: No. 63
calculated volume: 18.415 Å³/atom

Cell: 4.1440 3.6013 12.4702 Å, 98.30 90.00 90.00°
Sites, in units of the cell vectors:
Cu 0.7500 0.6245 0.2490
Cu 0.2500 0.3755 0.7510
Cu 0.7500 0.5259 0.0518
Cu 0.2500 0.6803 0.3607
Cu 0.2500 0.4741 0.9482
Cu 0.7500 0.3197 0.6393
In 0.7500 0.2075 0.4150
In 0.2500 0.7925 0.5850
Dy 0.7500 0.9241 0.8482
Dy 0.2500 0.0759 0.1518

---

DFT (PBE) results for an optimized crystal structure of SnBi5Pb8.

Output
crystal system: tetragonal
DFT formation energy: 0.051 eV per atom
total moment: 0.000 μB/atom
symmetry: No. 82
calculated volume: 33.051 Å³/atom

Cell: 8.4394 8.4394 8.4394 Å, 109.38 109.65 109.38°
Sites, in units of the cell vectors:
Pb 0.2883 0.2539 0.3810
Pb 0.7889 0.2499 0.3778
Pb 0.6190 0.9072 0.8729
Pb 0.9656 0.0928 0.7117
Pb 0.4610 0.5889 0.2111
Pb 0.1279 0.7501 0.5390
Pb 0.1271 0.7461 0.0344
Pb 0.6222 0.4111 0.8721
Bi 0.5000 0.0000 0.5000
Bi 0.3765 0.1291 0.0054
Bi 0.8763 0.8709 0.2474
Bi 0.7526 0.6289 0.6235
Bi 0.9946 0.3711 0.1237
Sn 0.2500 0.5000 0.7500

---

DFT (PBE) results for an optimized crystal structure of Mn2CoSbC.

Output
crystal system: tetragonal
ΔE_f (raw): 83 meV/atom
total moment: 0.604 μB/atom
symmetry: No. 123
calculated volume: 11.807 Å³/atom

Cell: 3.8754 3.8754 3.9308 Å, 90.00 90.00 90.00°
Sites, in units of the cell vectors:
Co 0.0000 0.0000 0.5000
Mn 0.5000 0.0000 0.0000
Mn 0.0000 0.5000 0.0000
Sb 0.5000 0.5000 0.5000
C 0.0000 0.0000 0.0000

---

DFT (PBE) results for an optimized crystal structure of V5Re2W2.

Output
crystal system: orthorhombic
DFT formation energy: 0.459 eV per atom
total moment: 0.000 μB/atom
symmetry: No. 46
calculated volume: 15.222 Å³/atom

Cell: 6.2038 7.3667 7.6898 Å, 118.62 113.79 90.00°
Sites, in units of the cell vectors:
V 0.3501 0.4604 0.2991
V 0.6229 0.1513 0.9061
V 0.0511 0.5396 0.7009
V 0.4282 0.9298 0.5000
V 0.7168 0.8487 0.0939
V 0.1229 0.2548 0.9061
V 0.2168 0.7452 0.0939
V 0.5511 0.6613 0.7009
V 0.8502 0.3387 0.2991
V 0.9282 0.0702 0.5000
W 0.4876 0.5000 0.0000
W 0.7697 0.7598 0.5000
W 0.9876 0.0000 0.0000
W 0.2697 0.2402 0.5000
Re 0.9878 0.6122 0.2380
Re 0.2498 0.8742 0.7620
Re 0.4878 0.1258 0.2380
Re 0.7498 0.3878 0.7620

---

DFT (PBE) results for an optimized crystal structure of Dy12Y2Ho.

Output
crystal system: monoclinic
DFT formation energy: 0.114 eV per atom
total moment: 0.000 μB/atom
symmetry: No. 12
calculated volume: 32.006 Å³/atom

Cell: 6.6119 6.6119 24.7813 Å, 83.38 96.62 65.14°
Sites, in units of the cell vectors:
Dy 0.8956 0.0923 0.2009
Dy 0.4437 0.5559 0.9264
Dy 0.4991 0.4947 0.6703
Dy 0.0053 0.0009 0.6703
Dy 0.6007 0.8993 0.1330
Dy 0.1057 0.3943 0.1403
Dy 0.5559 0.4437 0.0736
Dy 0.3943 0.1057 0.8597
Dy 0.0563 0.9441 0.0736
Dy 0.6044 0.4077 0.7991
Dy 0.8343 0.1683 0.4446
Dy 0.0009 0.0053 0.3297
Dy 0.6657 0.3317 0.5554
Dy 0.3317 0.6657 0.4446
Dy 0.1683 0.8343 0.5554
Dy 0.0923 0.8956 0.7991
Dy 0.8993 0.6007 0.8670
Dy 0.8163 0.6837 0.4238
Dy 0.4947 0.4991 0.3297
Dy 0.3212 0.1788 0.4265
Dy 0.1788 0.3212 0.5735
Dy 0.9441 0.0563 0.9264
Dy 0.6837 0.8163 0.5762
Dy 0.4077 0.6044 0.2009
Y 0.4574 0.0426 0.2715
Y 0.0426 0.4574 0.7285
Y 0.5485 0.9515 0.7282
Y 0.9515 0.5485 0.2718
Ho 0.4976 0.0024 0.9968
Ho 0.0024 0.4976 0.0032

---

DFT (PBE) results for an optimized crystal structure of BeCoBi2P.

Output
crystal system: tetragonal
DFT formation energy: 0.855 eV per atom
total moment: 0.270 μB/atom
symmetry: No. 123
calculated volume: 24.662 Å³/atom

Cell: 5.5033 4.0715 5.5033 Å, 90.00 90.00 90.00°
Sites, in units of the cell vectors:
Bi 0.5000 0.0000 0.0000
Bi 0.0000 0.0000 0.5000
Be 0.5000 0.5000 0.5000
Co 0.0000 0.5000 0.0000
P 0.0000 0.0000 0.0000

---

DFT (PBE) results for an optimized crystal structure of Ni2AsRh.

Output
crystal system: tetragonal
DFT formation energy: -0.155 eV per atom
total moment: 0.000 μB/atom
symmetry: No. 123
calculated volume: 12.630 Å³/atom

Cell: 3.6855 3.6825 3.7223 Å, 90.00 90.00 90.00°
Sites, in units of the cell vectors:
As 0.0000 0.5000 0.5000
Ni 0.5000 0.5000 0.0000
Ni 0.0000 0.0000 0.0000
Rh 0.5000 0.0000 0.5000

---

no.,raw total energy (eV/atom)
1,-4.47
2,-4.07
3,-3.74
4,-7.68
5,-10.25
6,-4.73
7,-3.95
8,-6.05